A relaxed Li5Co3Sb2O10 crystal. Source: Alexandria, functional PBE+U.

Calculated values
**Volume**: 10.01 Å³/atom
**Raw total energy**: -226.891 eV/cell
**Crystal system**: triclinic
**Total magnetization**: 0.400 μB per atom

Lattice parameters (Å, degrees): 5.253 8.102 10.529 107.32 101.20 102.96
Space group P-1 (No. 2)
One atom of each set of equivalent atoms:
Li 0.000 0.002 0.250 (multiplicity 2)
Li 0.490 0.692 0.060 (multiplicity 2)
Li 0.494 0.891 0.331 (multiplicity 2)
Li 0.496 0.900 0.834 (multiplicity 2)
Li 0.500 0.305 0.443 (multiplicity 2)
Co 0.011 0.594 0.658 (multiplicity 2)
Co 0.012 0.403 0.841 (multiplicity 2)
Co 0.474 0.506 0.752 (multiplicity 2)
Sb 0.000 0.202 0.045 (multiplicity 2)
Sb 0.010 0.801 0.456 (multiplicity 2)
O 0.220 0.043 0.954 (multiplicity 2)
O 0.220 0.046 0.454 (multiplicity 2)
O 0.234 0.840 0.141 (multiplicity 2)
O 0.236 0.428 0.541 (multiplicity 2)
O 0.239 0.249 0.734 (multiplicity 2)
O 0.242 0.255 0.236 (multiplicity 2)
O 0.242 0.669 0.362 (multiplicity 2)
O 0.243 0.674 0.866 (multiplicity 2)
O 0.244 0.433 0.047 (multiplicity 2)
O 0.245 0.845 0.642 (multiplicity 2)